A plane-wave DFT calculation with GGA-PBE was carried out for a relaxed Tl3Sb3Au crystal.

Calculated values
The value obtained for the size of the total moment is 0.0 μB/cell. The final energy is -91.6 eV for the cell shown. The formation energy (no corrections) comes out at -0.021 eV per atom.

CIF file:
```
data_Tl3Sb3Au
_chemical_formula_sum 'Tl12 Sb12 Au4'
_symmetry_space_group_name_H-M 'C m c m'
_symmetry_Int_Tables_number 63
_symmetry_space_group_name_Hall '-C 2c 2'
_cell_length_a 4.492
_cell_length_b 12.946
_cell_length_c 15.540
_cell_angle_alpha 90.00
_cell_angle_beta 90.00
_cell_angle_gamma 90.00
loop_
_atom_site_label
_atom_site_type_symbol
_atom_site_fract_x
_atom_site_fract_y
_atom_site_fract_z
_atom_site_occupancy
Tl1 Tl 0.000 0.084 0.250 1
Tl2 Tl 0.000 0.223 0.601 1
Sb1 Sb 0.000 0.342 0.250 1
Sb2 Sb 0.000 0.496 0.106 1
Au1 Au 0.000 0.000 0.000 1
```

---

A plane-wave DFT calculation with GGA-PBE was carried out for a relaxed Tl3Sb2Au3 crystal.

Calculated values
The value obtained for the size of the total moment is 0.0 μB/cell. The final energy is -103.2 eV for the cell shown. The formation energy (no corrections) comes out at -0.078 eV per atom.

CIF file:
```
data_Tl3Sb2Au3
_chemical_formula_sum 'Tl12 Sb8 Au12'
_symmetry_space_group_name_H-M 'P n m a'
_symmetry_Int_Tables_number 62
_cell_length_a 8.166
_cell_length_b 16.003
_cell_length_c 7.057
_cell_angle_alpha 90.00
_cell_angle_beta 90.00
_cell_angle_gamma 90.00
loop_
_symmetry_equiv_pos_as_xyz
'x,y,z'
'-x,-y,-z'
'-x+1/2,-y,z+1/2'
'x+1/2,y,-z+1/2'
'x+1/2,-y+1/2,-z+1/2'
'-x+1/2,y+1/2,z+1/2'
'-x,y+1/2,-z'
'x,-y+1/2,z'
loop_
_atom_site_label
_atom_site_type_symbol
_atom_site_fract_x
_atom_site_fract_y
_atom_site_fract_z
_atom_site_occupancy
Tl1 Tl 0.010 0.115 0.103 1
Tl2 Tl 0.195 0.250 0.561 1
Sb1 Sb 0.091 0.594 0.406 1
Au1 Au 0.220 0.750 0.481 1
Au2 Au 0.229 0.023 0.632 1
```